# Ca3Ge

Crystalline Ca3Ge at its relaxed geometry (PBE, the Alexandria database).

Structure (extended XYZ):
```
8
Lattice="2.712 -6.564 0.000 2.712 6.564 0.000 0.000 0.000 7.233" Properties=species:S:1:pos:R:3 pbc="T T T"
Ca 2.712 5.900 3.617
Ca 2.712 2.347 1.483
Ca 2.712 1.753 4.801
Ca 2.712 -1.753 1.184
Ca 2.712 -2.347 5.099
Ca 2.712 -5.900 0.000
Ge 2.712 4.331 6.520
Ge 2.712 -4.331 2.903
```

## Properties
Its excess energy over the best structure of this formula in the dataset is 39.6 meV per atom. For the total magnetization, the calculation gives 0.00 μB per cell. As for the space group: Cmc2_1 (36).

***

# CaGe

Crystalline CaGe at its relaxed geometry (PBE, the Alexandria database).

Structure (extended XYZ):
```
12
Lattice="10.119 0.000 0.000 -5.059 8.763 0.000 0.000 0.000 4.062" Properties=species:S:1:pos:R:3 pbc="T T T"
Ca -2.137 7.052 1.015
Ca 0.020 3.387 1.015
Ca 2.943 1.676 3.046
Ca 2.116 7.087 1.015
Ca 5.039 5.377 3.046
Ca 7.196 1.711 3.046
Ge -1.797 4.724 3.046
Ge -0.070 7.957 3.046
Ge 1.867 4.845 3.046
Ge 3.192 3.918 1.015
Ge 5.130 0.806 1.015
Ge 6.856 4.039 1.015
```

## Properties
For the total magnetization, the calculation gives 0.00 μB per cell. As for the space group: P6_3/m (176).

***

Calculated formation energy per entry: -0.3562; -0.3755 eV per atom
Raw total energy per entry: -3.0117; -3.6850 eV/atom